Record 1
Density functional theory data (PBE) for an optimized crystal structure of Cs2Ho4Cu4Te9.

Calculated values
As for the crystal system: monoclinic.

a = 8.099 Å, b = 8.099 Å, c = 17.698 Å
α = 107.34°, β = 107.34°, γ = 31.45°
Atoms (fractional coordinates):
Cs: 0.466 0.466 0.225
Cs: 0.534 0.534 0.775
Cu: 0.749 0.749 0.236
Cu: 0.077 0.077 0.474
Cu: 0.923 0.923 0.526
Cu: 0.251 0.251 0.764
Ho: 0.153 0.153 0.056
Ho: 0.272 0.272 0.400
Ho: 0.728 0.728 0.600
Ho: 0.847 0.847 0.944
Te: 0.500 0.500 0.000
Te: 0.794 0.794 0.100
Te: 0.156 0.156 0.227
Te: 0.897 0.897 0.373
Te: 0.637 0.637 0.422
Te: 0.363 0.363 0.578
Te: 0.103 0.103 0.627
Te: 0.844 0.844 0.773
Te: 0.206 0.206 0.900


Record 2
Density functional theory data (PBE) for an optimized crystal structure of Cs2CuI4.

Calculated values
As for the crystal system: monoclinic.

a = 8.060 Å, b = 7.452 Å, c = 11.407 Å
α = 90.00°, β = 109.27°, γ = 90.00°
Atoms (fractional coordinates):
Cs: 0.321 0.250 0.095
Cs: 0.791 0.750 0.461
Cs: 0.209 0.250 0.539
Cs: 0.679 0.750 0.905
Cu: 0.199 0.750 0.284
Cu: 0.801 0.250 0.716
I: 0.410 0.750 0.153
I: 0.971 0.010 0.215
I: 0.971 0.490 0.215
I: 0.660 0.250 0.472
I: 0.340 0.750 0.528
I: 0.029 0.510 0.785
I: 0.029 0.990 0.785
I: 0.590 0.250 0.847


Record 3
Density functional theory data (PBE) for an optimized crystal structure of Cs2NaCuI6.

Calculated values
As for the crystal system: hexagonal.

a = 7.823 Å, b = 7.823 Å, c = 16.415 Å
α = 90.00°, β = 90.00°, γ = 120.00°
Atoms (fractional coordinates):
Cs: 0.333 0.667 0.079
Cs: 0.333 0.667 0.421
Cs: 0.667 0.333 0.579
Cs: 0.667 0.333 0.921
Cu: 0.000 0.000 0.250
Cu: 0.000 0.000 0.750
I: 0.317 0.158 0.131
I: 0.842 0.159 0.131
I: 0.841 0.683 0.131
I: 0.841 0.158 0.369
I: 0.317 0.159 0.369
I: 0.842 0.683 0.369
I: 0.158 0.317 0.631
I: 0.683 0.841 0.631
I: 0.159 0.842 0.631
I: 0.159 0.317 0.869
I: 0.158 0.841 0.869
I: 0.683 0.842 0.869
Na: 0.667 0.333 0.250
Na: 0.333 0.667 0.750


Record 4
Density functional theory data (PBE) for an optimized crystal structure of CsInCu.

Calculated values
As for the crystal system: cubic. For the distance to the lowest polymorph of the same formula, the calculation gives 0 meV/atom.

a = 5.436 Å, b = 5.436 Å, c = 5.436 Å
α = 60.00°, β = 60.00°, γ = 60.00°
Atoms (fractional coordinates):
Cs: 0.250 0.250 0.250
Cu: 0.000 0.000 0.000
In: 0.750 0.750 0.750


Record 5
Density functional theory data (PBE) for an optimized crystal structure of CsInCu.

Calculated values
As for the crystal system: cubic. For the distance to the lowest polymorph of the same formula, the calculation gives 148 meV/atom.

a = 5.545 Å, b = 5.545 Å, c = 5.545 Å
α = 60.00°, β = 60.00°, γ = 60.00°
Atoms (fractional coordinates):
Cs: 0.250 0.250 0.250
Cu: 0.750 0.750 0.750
In: 0.000 0.000 0.000


Record 6
Density functional theory data (PBE) for an optimized crystal structure of CsInCu.

Calculated values
As for the crystal system: cubic. For the distance to the lowest polymorph of the same formula, the calculation gives 368 meV/atom.

a = 5.800 Å, b = 5.800 Å, c = 5.800 Å
α = 60.00°, β = 60.00°, γ = 60.00°
Atoms (fractional coordinates):
Cs: 0.000 0.000 0.000
Cu: 0.250 0.250 0.250
In: 0.750 0.750 0.750


Record 7
Density functional theory data (PBE) for an optimized crystal structure of CsInCuTe3.

Calculated values
As for the crystal system: monoclinic. For the distance to the lowest polymorph of the same formula, the calculation gives 0 meV/atom.

a = 10.605 Å, b = 4.172 Å, c = 10.801 Å
α = 90.00°, β = 114.91°, γ = 90.00°
Atoms (fractional coordinates):
Cs: 0.285 0.750 0.254
Cs: 0.715 0.250 0.746
Cu: 0.568 0.250 0.079
Cu: 0.432 0.750 0.921
In: 0.831 0.750 0.362
In: 0.169 0.250 0.638
Te: 0.702 0.750 0.043
Te: 0.021 0.250 0.336
Te: 0.624 0.250 0.344
Te: 0.376 0.750 0.656
Te: 0.979 0.750 0.664
Te: 0.298 0.250 0.957


Record 8
Density functional theory data (PBE) for an optimized crystal structure of CsInCuTe3.

Calculated values
As for the crystal system: orthorhombic. For the distance to the lowest polymorph of the same formula, the calculation gives 29 meV/atom.

a = 8.865 Å, b = 8.865 Å, c = 11.787 Å
α = 90.00°, β = 90.00°, γ = 153.09°
Atoms (fractional coordinates):
Cs: 0.255 0.745 0.250
Cs: 0.745 0.255 0.750
Cu: 0.541 0.459 0.250
Cu: 0.459 0.541 0.750
In: 0.000 0.000 0.000
In: 0.000 0.000 0.500
Te: 0.617 0.383 0.055
Te: 0.946 0.054 0.250
Te: 0.617 0.383 0.445
Te: 0.383 0.617 0.555
Te: 0.054 0.946 0.750
Te: 0.383 0.617 0.945


Record 9
Density functional theory data (PBE) for an optimized crystal structure of CsCuIr.

Calculated values
As for the crystal system: cubic. For the distance to the lowest polymorph of the same formula, the calculation gives 0 meV/atom.

a = 4.745 Å, b = 4.745 Å, c = 4.745 Å
α = 60.00°, β = 60.00°, γ = 60.00°
Atoms (fractional coordinates):
Cs: 0.250 0.250 0.250
Cu: 0.750 0.750 0.750
Ir: 0.000 0.000 0.000


Record 10
Density functional theory data (PBE) for an optimized crystal structure of CsCuIr.

Calculated values
As for the crystal system: cubic. For the distance to the lowest polymorph of the same formula, the calculation gives 640 meV/atom.

a = 4.722 Å, b = 4.722 Å, c = 4.722 Å
α = 60.00°, β = 60.00°, γ = 60.00°
Atoms (fractional coordinates):
Cs: 0.000 0.000 0.000
Cu: 0.250 0.250 0.250
Ir: 0.750 0.750 0.750


Record 11
Density functional theory data (PBE) for an optimized crystal structure of CsCuIr.

Calculated values
As for the crystal system: cubic. For the distance to the lowest polymorph of the same formula, the calculation gives 107 meV/atom.

a = 4.685 Å, b = 4.685 Å, c = 4.685 Å
α = 60.00°, β = 60.00°, γ = 60.00°
Atoms (fractional coordinates):
Cs: 0.250 0.250 0.250
Cu: 0.000 0.000 0.000
Ir: 0.750 0.750 0.750


Record 12
Density functional theory data (PBE) for an optimized crystal structure of CsCuIrS3.

Calculated values
As for the crystal system: monoclinic. For the distance to the lowest polymorph of the same formula, the calculation gives 1 meV/atom.

a = 8.409 Å, b = 3.776 Å, c = 9.581 Å
α = 90.00°, β = 115.08°, γ = 90.00°
Atoms (fractional coordinates):
Cs: 0.744 0.250 0.263
Cs: 0.256 0.750 0.737
Cu: 0.425 0.750 0.407
Cu: 0.575 0.250 0.593
Ir: 0.178 0.250 0.147
Ir: 0.822 0.750 0.853
S: 0.988 0.750 0.123
S: 0.361 0.750 0.149
S: 0.274 0.250 0.426
S: 0.726 0.750 0.574
S: 0.639 0.250 0.851
S: 0.012 0.250 0.877


Record 13
Density functional theory data (PBE) for an optimized crystal structure of CsCuIrS3.

Calculated values
As for the crystal system: orthorhombic. For the distance to the lowest polymorph of the same formula, the calculation gives 96 meV/atom.

a = 7.913 Å, b = 7.913 Å, c = 9.472 Å
α = 90.00°, β = 90.00°, γ = 27.21°
Atoms (fractional coordinates):
Cs: 0.253 0.253 0.250
Cs: 0.747 0.747 0.750
Cu: 0.969 0.969 0.250
Cu: 0.031 0.031 0.750
Ir: 0.500 0.500 0.000
Ir: 0.500 0.500 0.500
S: 0.902 0.902 0.039
S: 0.557 0.557 0.250
S: 0.902 0.902 0.461
S: 0.098 0.098 0.539
S: 0.443 0.443 0.750
S: 0.098 0.098 0.961


Record 14
Density functional theory data (PBE) for an optimized crystal structure of CsCuIrS3.

Calculated values
As for the crystal system: orthorhombic. For the distance to the lowest polymorph of the same formula, the calculation gives 0 meV/atom.

a = 15.033 Å, b = 3.769 Å, c = 9.727 Å
α = 90.00°, β = 90.00°, γ = 90.00°
Atoms (fractional coordinates):
Cs: 0.240 0.750 0.047
Cs: 0.740 0.750 0.453
Cs: 0.260 0.250 0.547
Cs: 0.760 0.250 0.953
Cu: 0.009 0.250 0.085
Cu: 0.509 0.250 0.415
Cu: 0.491 0.750 0.585
Cu: 0.991 0.750 0.915
Ir: 0.516 0.750 0.159
Ir: 0.016 0.750 0.341
Ir: 0.984 0.250 0.659
Ir: 0.484 0.250 0.841
S: 0.433 0.250 0.071
S: 0.925 0.750 0.134
S: 0.607 0.250 0.231
S: 0.107 0.250 0.269
S: 0.425 0.750 0.366
S: 0.933 0.250 0.429
S: 0.067 0.750 0.571
S: 0.575 0.250 0.634
S: 0.893 0.750 0.731
S: 0.393 0.750 0.769
S: 0.075 0.250 0.866
S: 0.567 0.750 0.929


Record 15
Density functional theory data (PBE) for an optimized crystal structure of CsCuIrSeS2.

Calculated values
As for the crystal system: orthorhombic.

a = 8.093 Å, b = 8.093 Å, c = 9.676 Å
α = 90.00°, β = 90.00°, γ = 153.42°
Atoms (fractional coordinates):
Cs: 0.263 0.737 0.250
Cs: 0.737 0.263 0.750
Cu: 0.965 0.035 0.250
Cu: 0.035 0.965 0.750
Ir: 0.500 0.500 0.000
Ir: 0.500 0.500 0.500
S: 0.904 0.096 0.040
S: 0.904 0.096 0.460
S: 0.096 0.904 0.540
S: 0.096 0.904 0.960
Se: 0.564 0.436 0.250
Se: 0.436 0.564 0.750


Record 16
Density functional theory data (PBE) for an optimized crystal structure of CsCuTeIrS2.

Calculated values
As for the crystal system: orthorhombic.

a = 8.518 Å, b = 8.518 Å, c = 9.945 Å
α = 90.00°, β = 90.00°, γ = 154.73°
Atoms (fractional coordinates):
Cs: 0.221 0.779 0.250
Cs: 0.779 0.221 0.750
Cu: 0.538 0.462 0.250
Cu: 0.462 0.538 0.750
Ir: 0.000 0.000 0.000
Ir: 0.000 0.000 0.500
S: 0.591 0.409 0.043
S: 0.591 0.409 0.457
S: 0.409 0.591 0.543
S: 0.409 0.591 0.957
Te: 0.928 0.072 0.250
Te: 0.072 0.928 0.750


Record 17
Density functional theory data (PBE) for an optimized crystal structure of CsCuTe2IrS.

Calculated values
As for the crystal system: orthorhombic.

a = 8.652 Å, b = 8.652 Å, c = 9.865 Å
α = 90.00°, β = 90.00°, γ = 152.89°
Atoms (fractional coordinates):
Cs: 0.753 0.247 0.250
Cs: 0.247 0.753 0.750
Cu: 0.014 0.986 0.250
Cu: 0.986 0.014 0.750
Ir: 0.500 0.500 0.000
Ir: 0.500 0.500 0.500
S: 0.447 0.553 0.250
S: 0.553 0.447 0.750
Te: 0.103 0.897 0.039
Te: 0.103 0.897 0.461
Te: 0.897 0.103 0.539
Te: 0.897 0.103 0.961


Record 18
Density functional theory data (PBE) for an optimized crystal structure of CsCuIrSe3.

Calculated values
As for the crystal system: orthorhombic. For the distance to the lowest polymorph of the same formula, the calculation gives 200 meV/atom.

a = 3.981 Å, b = 12.400 Å, c = 13.107 Å
α = 90.00°, β = 90.00°, γ = 90.00°
Atoms (fractional coordinates):
Cs: 0.250 0.821 0.005
Cs: 0.250 0.321 0.495
Cs: 0.750 0.679 0.505
Cs: 0.750 0.179 0.995
Cu: 0.750 0.754 0.215
Cu: 0.750 0.254 0.285
Cu: 0.250 0.746 0.715
Cu: 0.250 0.246 0.785
Ir: 0.250 0.523 0.189
Ir: 0.250 0.023 0.311
Ir: 0.750 0.977 0.689
Ir: 0.750 0.477 0.811
Se: 0.750 0.590 0.089
Se: 0.750 0.947 0.213
Se: 0.250 0.190 0.217
Se: 0.250 0.690 0.283
Se: 0.750 0.447 0.287
Se: 0.750 0.090 0.411
Se: 0.250 0.910 0.589
Se: 0.250 0.553 0.713
Se: 0.750 0.310 0.717
Se: 0.750 0.810 0.783
Se: 0.250 0.053 0.787
Se: 0.250 0.410 0.911


Record 19
Density functional theory data (PBE) for an optimized crystal structure of CsCuIrSe3.

Calculated values
As for the crystal system: monoclinic. For the distance to the lowest polymorph of the same formula, the calculation gives 0 meV/atom.

a = 8.748 Å, b = 3.928 Å, c = 10.066 Å
α = 90.00°, β = 115.65°, γ = 90.00°
Atoms (fractional coordinates):
Cs: 0.751 0.750 0.230
Cs: 0.249 0.250 0.770
Cu: 0.073 0.250 0.093
Cu: 0.927 0.750 0.907
Ir: 0.320 0.750 0.351
Ir: 0.680 0.250 0.649
Se: 0.231 0.750 0.072
Se: 0.133 0.250 0.352
Se: 0.514 0.250 0.376
Se: 0.486 0.750 0.624
Se: 0.867 0.750 0.648
Se: 0.769 0.250 0.928


Record 20
Density functional theory data (PBE) for an optimized crystal structure of CsCuIrSe3.

Calculated values
As for the crystal system: orthorhombic. For the distance to the lowest polymorph of the same formula, the calculation gives 91 meV/atom.

a = 8.232 Å, b = 8.232 Å, c = 9.910 Å
α = 90.00°, β = 90.00°, γ = 27.14°
Atoms (fractional coordinates):
Cs: 0.244 0.244 0.250
Cs: 0.756 0.756 0.750
Cu: 0.534 0.534 0.250
Cu: 0.466 0.466 0.750
Ir: 0.000 0.000 0.000
Ir: 0.000 0.000 0.500
Se: 0.601 0.601 0.035
Se: 0.942 0.942 0.250
Se: 0.601 0.601 0.465
Se: 0.399 0.399 0.535
Se: 0.058 0.058 0.750
Se: 0.399 0.399 0.965


Respective V values: 576.0; 646.8; 869.9; 113.6; 120.6; 138.0; 433.4; 419.2; 75.6; 74.4; 72.7; 275.5; 271.2; 551.1; 283.6; 308.0; 336.5; 647.0; 311.7; 306.4 Å³/cell.
Respective energy values: -81.3; -36.5; -46.9; -5.8; -5.4; -4.7; -38.4; -38.1; -9.0; -7.1; -8.7; -58.2; -57.1; -116.5; -55.7; -54.7; -51.1; -102.9; -53.9; -52.8 eV/cell.